Record 1
Below is CsSm2Ag3Te5 after structural relaxation, with properties calculated at the GGA-PBEsol level.

Uncorrected energy ... -4.40 eV/atom
E_form (uncorrected) ... -0.884 eV/atom

Lattice parameters (Å, degrees): 4.535 15.971 18.416 90.00 90.00 90.00
Space group Cmcm (No. 63)
Unique sites:
Cs  0.000  0.058  0.250 x4
Sm  0.000  0.190  0.593 x8
Ag  0.000  0.341  0.250 x4
Ag  0.000  0.412  0.528 x8
Te  0.000  0.174  0.075 x8
Te  0.000  0.256  0.750 x4
Te  0.000  0.442  0.120 x8

Record 2
Below is CsAg2Sn2 after structural relaxation, with properties calculated at the GGA-PBEsol level.

D(E_F) ... 6.32 states/eV/cell
Uncorrected energy ... -3.26 eV/atom
ΔH_f (0 K) ... -0.20 eV/f.u.

Lattice parameters (Å, degrees): 4.985 4.985 11.179 90.00 90.00 90.00
Space group I4/mmm (No. 139)
Unique sites:
Cs  0.000  0.000  0.000 x2
Ag  0.000  0.500  0.250 x4
Sn  0.000  0.000  0.365 x4

Record 3
Below is CsSr3Ag after structural relaxation, with properties calculated at the GGA-PBEsol level.

D(E_F) ... 9.96 states/eV/cell
Uncorrected energy ... -0.86 eV/atom
ΔH_f (0 K) ... 5.48 eV/f.u.

Lattice parameters (Å, degrees): 6.037 6.037 6.037 90.00 90.00 90.00
Space group Pm-3m (No. 221)
Unique sites:
Cs  0.000  0.000  0.000 x1
Sr  0.000  0.000  0.500 x3
Ag  0.500  0.500  0.500 x1

Record 4
Below is CsTc3Ag after structural relaxation, with properties calculated at the GGA-PBEsol level.

D(E_F) ... 5.66 states/eV/cell
Uncorrected energy ... -5.02 eV/atom
ΔH_f (0 K) ... 12.94 eV/f.u.

Lattice parameters (Å, degrees): 5.032 5.032 5.032 90.00 90.00 90.00
Space group Pm-3m (No. 221)
Unique sites:
Cs  0.000  0.000  0.000 x1
Tc  0.000  0.500  0.500 x3
Ag  0.500  0.500  0.500 x1